1.
# ZrIn3Tc

A relaxed structure of ZrIn3Tc (GGA-PBE, Alexandria via LeMat-Bulk).

Cell lengths 5.476, 5.476, 5.476 Å; angles 90.00, 90.00, 90.00 degrees
Fractional positions:
Zr 0.000 0.000 0.000
In 0.000 0.000 0.500
In 0.000 0.500 0.000
In 0.500 0.000 0.000
Tc 0.500 0.500 0.500

Values from the calculation:
For the density, the calculation gives 5.397 g/cm³. Its formation energy is 132 kJ/mol of atoms. Its space group is No. 221.


2.
# NbGaRu2

A relaxed structure of NbGaRu2 (GGA-PBE, Alexandria via LeMat-Bulk).

Cell lengths 2.912, 2.912, 8.543 Å; angles 99.65, 99.65, 59.92 degrees
Fractional positions:
Nb 0.000 0.000 0.000
Ga 0.168 0.168 0.500
Ru 0.421 0.421 0.259
Ru 0.580 0.580 0.740

Values from the calculation:
For the density, the calculation gives 9.846 g/cm³. Its formation energy is -13 kJ/mol of atoms. Its space group is No. 8.


no.,total magnetization (Bohr magnetons per cell)
1,3.7
2,0.0